1.
This record from Alexandria via LeMat-Bulk describes an optimized crystal structure of Y4PuS6. The functional is PBE-GGA.

- magnetic moment (μB/atom) = 0.50
- ΔE_f (raw) (eV per formula unit) = -21.68
- E_tot (eV per atom) = -7.876

```
Y4PuS6
1.0
1.9444 -6.4715 0.0000
1.9444 6.4715 0.0000
0.0000 0.0000 19.7846
Y Pu S
8 2 12
direct
0.0919 0.9081 0.6297 Y
0.0919 0.9081 0.8703 Y
0.3616 0.6384 0.5417 Y
0.3616 0.6384 0.9583 Y
0.6384 0.3616 0.0417 Y
0.6384 0.3616 0.4583 Y
0.9081 0.0919 0.1297 Y
0.9081 0.0919 0.3703 Y
0.1554 0.8446 0.2500 Pu
0.8446 0.1554 0.7500 Pu
0.0000 0.0000 0.0000 S
0.0000 0.0000 0.5000 S
0.1892 0.8108 0.7500 S
0.2704 0.7296 0.0882 S
0.2704 0.7296 0.4118 S
0.4538 0.5462 0.6666 S
0.4538 0.5462 0.8334 S
0.5462 0.4538 0.1666 S
0.5462 0.4538 0.3334 S
0.7296 0.2704 0.5882 S
0.7296 0.2704 0.9118 S
0.8108 0.1892 0.2500 S
```

---

2.
This record from Alexandria via LeMat-Bulk describes an optimized crystal structure of MnTlHgBr5. The functional is PBE-GGA.

- magnetic moment (μB/atom) = 0.62
- ΔE_f (raw) (eV per formula unit) = -5.22
- E_tot (eV per atom) = -3.177

```
MnTlHgBr5
1.0
4.7389 -6.4084 0.0000
4.7389 6.4084 0.0000
-3.6099 0.0000 9.1325
Mn Tl Hg Br
2 2 2 10
direct
0.1846 0.8154 0.7500 Mn
0.8154 0.1846 0.2500 Mn
0.1424 0.8576 0.2500 Tl
0.8576 0.1424 0.7500 Tl
0.5000 0.5000 0.0000 Hg
0.5000 0.5000 0.5000 Hg
0.1069 0.2434 0.4434 Br
0.1701 0.5821 0.8841 Br
0.2434 0.1069 0.9434 Br
0.4131 0.5869 0.2500 Br
0.4179 0.8299 0.6159 Br
0.5821 0.1701 0.3841 Br
0.5869 0.4131 0.7500 Br
0.7566 0.8931 0.0566 Br
0.8299 0.4179 0.1159 Br
0.8931 0.7566 0.5566 Br
```